Record 1
DFT (SCAN) results for a crystal of CaBe2P relaxed with PBEsol.

Cell: 3.1201 3.1201 6.0928 Å, 90.00 90.00 90.00°
Last column: nearest neighbours and their distance in Å.
Space group P4mm (No. 99)
Asymmetric unit:
Ca1 0.0000 0.0000 0.0000 x1  4 P 2.95, 6 Be 2.96-3.13, 4 Ca 3.12
Be1 0.0000 0.0000 0.4865 x1  4 P 2.43, 4 Be 2.45
Be2 0.5000 0.5000 0.6618 x1  1 P 2.08
P1 0.5000 0.5000 0.3209 x1  1 Be 2.08

=====

Record 2
DFT (SCAN) results for a crystal of CaBeP relaxed with PBEsol.

Cell: 3.7091 3.7091 4.1791 Å, 90.00 90.00 120.00°
Last column: nearest neighbours and their distance in Å.
Space group P-6m2 (No. 187)
Asymmetric unit:
Ca1 0.0000 0.0000 0.0000 x1  6 Be 2.99, 6 P 2.99
Be1 0.6667 0.3333 0.5000 x1  3 P 2.14
P1 0.3333 0.6667 0.5000 x1  3 Be 2.14

Results
offset from the most stable computed form	0.000	eV per atom

=====

Record 3
DFT (SCAN) results for a crystal of Ca2BeTlP relaxed with PBEsol.

Cell: 5.6453 5.6453 3.7690 Å, 90.00 90.00 90.00°
Last column: nearest neighbours and their distance in Å.
Space group P4/mmm (No. 123)
Asymmetric unit:
Ca1 0.0000 0.5000 0.0000 x2  2 Be 2.82
Be1 0.0000 0.0000 0.0000 x1  2 P 1.88
Tl1 0.5000 0.5000 0.5000 x1  8 Ca 3.39, 2 Tl 3.77
P1 0.0000 0.0000 0.5000 x1  2 Be 1.88

=====

Record 4
DFT (SCAN) results for a crystal of Ca2BePb relaxed with PBEsol.

Cell: 3.5273 3.5273 8.6660 Å, 90.00 90.00 90.00°
Last column: nearest neighbours and their distance in Å.
Space group P4mm (No. 99)
Asymmetric unit:
Ca1 0.0000 0.0000 0.0000 x1  4 Be 3.13, 1 Pb 3.23
Ca2 0.5000 0.5000 0.3638 x1  4 Pb 3.38, 4 Ca 3.53, 1 Be 3.62
Be1 0.5000 0.5000 0.7814 x1  4 Pb 2.83, 4 Ca 3.13
Pb1 0.0000 0.0000 0.6278 x1  4 Be 2.83

=====

Record 5
DFT (SCAN) results for a crystal of CaBePb relaxed with PBEsol.

Cell: 4.2635 4.2635 4.4239 Å, 90.00 90.00 120.00°
Last column: nearest neighbours and their distance in Å.
Space group P-6m2 (No. 187)
Asymmetric unit:
Ca1 0.0000 0.0000 0.0000 x1  6 Pb 3.31, 6 Be 3.31
Be1 0.6667 0.3333 0.5000 x1  3 Pb 2.46
Pb1 0.3333 0.6667 0.5000 x1  3 Be 2.46

=====

Record 6
DFT (SCAN) results for a crystal of CaBePb2 relaxed with PBEsol.

Cell: 6.5860 10.1179 3.3883 Å, 90.00 115.76 90.00°
Last column: nearest neighbours and their distance in Å.
Space group C2/m (No. 12)
Asymmetric unit:
Ca1 0.0000 0.0000 0.0000 x2  4 Pb 3.09, 2 Be 3.29, 2 Ca 3.39
Be1 0.0000 0.5000 0.0000 x2  4 Pb 3.09, 2 Ca 3.29, 2 Be 3.39
Pb1 0.2500 0.2500 0.5000 x4  2 Be 3.09, 2 Ca 3.09, 4 Pb 3.29-3.39

=====

V in Å³ per atom, matching the order above: 14.83 16.60 24.02 26.96 23.21 25.42
Energy of formation from the pure elements in eV per formula unit, matching the order above: 0.135 -2.646 -1.147 0.152 -0.878 0.825